! CrCuC2 PBE relaxed; values from VASP
! - DOS(E_F) (states/eV per atom) = 0.66
! - raw total energy (eV/f.u.) = -26.359
! - M_tot (μB per formula unit) = 1.04
! - formation energy (kJ/mol of atoms) = 140.1
! - ΔE to the lowest computed polymorph (eV/atom) = 0.547
&SYSTEM
  ibrav = 0, nat = 4, ntyp = 3
/
ATOMIC_SPECIES
Cr 52.00 Cr.upf
C 12.01 C.upf
Cu 63.55 Cu.upf
ATOMIC_POSITIONS angstrom
Cr 0.0000 0.0000 0.0000
C 1.2899 1.2899 1.2899
C 3.8696 3.8696 3.8696
Cu 2.5798 2.5798 2.5798
CELL_PARAMETERS angstrom
0.0000 2.5798 2.5798
2.5798 0.0000 2.5798
2.5798 2.5798 0.0000



! CrCuC PBE relaxed; values from VASP
! - DOS(E_F) (states/eV per atom) = 0.65
! - raw total energy (eV/f.u.) = -22.005
! - M_tot (μB per formula unit) = 0.00
! - formation energy (kJ/mol of atoms) = 30.2
! - ΔE to the lowest computed polymorph (eV/atom) = 0.078
&SYSTEM
  ibrav = 0, nat = 6, ntyp = 3
/
ATOMIC_SPECIES
Cr 52.00 Cr.upf
C 12.01 C.upf
Cu 63.55 Cu.upf
ATOMIC_POSITIONS angstrom
Cr 0.3786 -4.9010 4.5253
Cr 1.4728 -2.0437 1.5410
C -0.0812 -3.1865 1.1194
C 1.4726 -6.2783 3.6282
Cu -0.2128 -1.4826 -0.4538
Cu 1.3410 -4.5745 2.0550
CELL_PARAMETERS angstrom
-0.5126 -1.8384 -1.9481
2.6480 -0.2345 -0.4755
0.4596 -5.9492 5.4931



! CrCuC PBE relaxed; values from VASP
! - DOS(E_F) (states/eV per atom) = 0.61
! - raw total energy (eV/f.u.) = -21.517
! - M_tot (μB per formula unit) = 1.69
! - formation energy (kJ/mol of atoms) = 45.9
! - ΔE to the lowest computed polymorph (eV/atom) = 0.241
&SYSTEM
  ibrav = 0, nat = 6, ntyp = 3
/
ATOMIC_SPECIES
Cr 52.00 Cr.upf
C 12.01 C.upf
Cu 63.55 Cu.upf
ATOMIC_POSITIONS angstrom
Cr -1.1701 -4.9507 -0.2307
Cr 0.8882 -2.6773 -1.4140
C -0.8522 -3.2005 -0.8783
C 0.2482 -6.2012 -0.1100
Cu -0.4694 -2.5844 0.9563
Cu 0.6311 -5.5850 1.7247
CELL_PARAMETERS angstrom
-0.7636 -1.2207 -3.6736
3.1588 -0.7272 -0.4149
-0.9579 -5.2741 1.9516



! Cr2CuC2 PBE relaxed; values from VASP
! - DOS(E_F) (states/eV per atom) = 0.36
! - raw total energy (eV/f.u.) = -39.767
! - M_tot (μB per formula unit) = 0.00
! - formation energy (kJ/mol of atoms) = 39.0
! - ΔE to the lowest computed polymorph (eV/atom) = 0.035
&SYSTEM
  ibrav = 0, nat = 5, ntyp = 3
/
ATOMIC_SPECIES
Cr 52.00 Cr.upf
C 12.01 C.upf
Cu 63.55 Cu.upf
ATOMIC_POSITIONS angstrom
Cr 3.4010 1.7005 1.9992
Cr 1.7005 3.4010 1.9992
C 1.7005 1.7005 0.7581
C 3.4010 3.4010 3.2403
Cu 0.0000 0.0000 0.0000
CELL_PARAMETERS angstrom
3.4010 0.0000 0.0000
0.0000 3.4010 0.0000
1.7005 1.7005 3.9985



! DyCrCuC PBE relaxed; values from VASP
! - DOS(E_F) (states/eV per atom) = 0.65
! - raw total energy (eV/f.u.) = -28.042
! - M_tot (μB per formula unit) = 0.00
! - formation energy (kJ/mol of atoms) = -12.0
&SYSTEM
  ibrav = 0, nat = 8, ntyp = 4
/
ATOMIC_SPECIES
Dy 162.50 Dy.upf
Cr 52.00 Cr.upf
Cu 63.55 Cu.upf
C 12.01 C.upf
ATOMIC_POSITIONS angstrom
Dy 1.6084 -2.2823 3.3324
Dy 3.0020 1.8447 6.9813
Cr -0.6082 -2.2261 1.2435
Cr 1.5314 -2.1074 0.2921
Cu 3.3750 -0.1594 4.6811
Cu 1.2353 -0.2781 5.6326
C 3.9050 0.1443 8.7999
C 0.7054 -0.5819 1.5138
CELL_PARAMETERS angstrom
-1.6780 -2.2855 1.7192
2.6013 -2.0481 -0.1836
3.6871 3.8959 8.7782



! CrFe2CuC PBE relaxed; values from VASP
! - DOS(E_F) (states/eV per atom) = 0.99
! - raw total energy (eV/f.u.) = -38.946
! - M_tot (μB per formula unit) = 6.51
! - formation energy (kJ/mol of atoms) = 17.8
&SYSTEM
  ibrav = 0, nat = 5, ntyp = 4
/
ATOMIC_SPECIES
Cr 52.00 Cr.upf
C 12.01 C.upf
Fe 55.84 Fe.upf
Cu 63.55 Cu.upf
ATOMIC_POSITIONS angstrom
Cr 0.0000 0.0000 1.9621
C 0.0000 0.0000 0.0000
Fe 0.0000 1.8921 0.0000
Fe 1.8921 0.0000 0.0000
Cu 1.8921 1.8921 1.9621
CELL_PARAMETERS angstrom
3.7842 0.0000 0.0000
0.0000 3.7842 0.0000
0.0000 0.0000 3.9241



! HoCrCuC PBE relaxed; values from VASP
! - DOS(E_F) (states/eV per atom) = 0.63
! - raw total energy (eV/f.u.) = -28.030
! - M_tot (μB per formula unit) = 0.00
! - formation energy (kJ/mol of atoms) = -12.3
&SYSTEM
  ibrav = 0, nat = 8, ntyp = 4
/
ATOMIC_SPECIES
Ho 164.93 Ho.upf
Cr 52.00 Cr.upf
Cu 63.55 Cu.upf
C 12.01 C.upf
ATOMIC_POSITIONS angstrom
Ho 2.4830 2.4830 2.5447
Ho 0.8277 0.8277 7.6925
Cr 2.4830 0.8277 0.0000
Cr 0.8277 2.4830 0.0000
Cu 0.8277 2.4830 5.1186
Cu 2.4830 0.8277 5.1186
C 2.4830 2.4830 8.9078
C 0.8277 0.8277 1.3294
CELL_PARAMETERS angstrom
3.3106 0.0000 0.0000
0.0000 3.3106 0.0000
0.0000 0.0000 10.2372



! MnCrCuC2 PBE relaxed; values from VASP
! - DOS(E_F) (states/eV per atom) = 0.62
! - raw total energy (eV/f.u.) = -33.636
! - M_tot (μB per formula unit) = 3.08
! - formation energy (kJ/mol of atoms) = 148.6
&SYSTEM
  ibrav = 0, nat = 5, ntyp = 4
/
ATOMIC_SPECIES
Cr 52.00 Cr.upf
C 12.01 C.upf
Mn 54.94 Mn.upf
Cu 63.55 Cu.upf
ATOMIC_POSITIONS angstrom
Cr 0.4096 -2.1716 -0.7264
C -0.0021 -0.5863 1.7515
C -1.8182 -0.3078 -0.1052
Mn 0.0000 0.0000 0.0000
Cu -1.4107 -3.0657 0.9199
CELL_PARAMETERS angstrom
-3.6363 -0.6155 -0.2105
0.8193 -4.3432 -1.4528
-0.0043 -1.1726 3.5030



! NbCrCuC2 PBE relaxed; values from VASP
! - DOS(E_F) (states/eV per atom) = 0.77
! - raw total energy (eV/f.u.) = -35.508
! - M_tot (μB per formula unit) = 0.00
! - formation energy (kJ/mol of atoms) = 129.8
&SYSTEM
  ibrav = 0, nat = 5, ntyp = 4
/
ATOMIC_SPECIES
Cr 52.00 Cr.upf
Nb 92.91 Nb.upf
C 12.01 C.upf
Cu 63.55 Cu.upf
ATOMIC_POSITIONS angstrom
Cr 0.0000 0.0000 0.0000
Nb 1.8657 2.2308 1.8657
C 0.0000 0.0000 1.8657
C 1.8657 0.0000 0.0000
Cu 0.0000 2.2308 0.0000
CELL_PARAMETERS angstrom
3.7315 0.0000 0.0000
0.0000 4.4617 0.0000
0.0000 0.0000 3.7315



! NbCrCu2C PBE relaxed; values from VASP
! - DOS(E_F) (states/eV per atom) = 1.30
! - raw total energy (eV/f.u.) = -27.285
! - M_tot (μB per formula unit) = 0.72
! - formation energy (kJ/mol of atoms) = 189.6
&SYSTEM
  ibrav = 0, nat = 5, ntyp = 4
/
ATOMIC_SPECIES
Cr 52.00 Cr.upf
Nb 92.91 Nb.upf
C 12.01 C.upf
Cu 63.55 Cu.upf
ATOMIC_POSITIONS angstrom
Cr 2.3742 1.9725 2.3742
Nb 0.0000 0.0000 0.0000
C 0.0000 1.9725 0.0000
Cu 0.0000 0.0000 2.3742
Cu 2.3742 0.0000 0.0000
CELL_PARAMETERS angstrom
4.7484 0.0000 0.0000
0.0000 3.9450 0.0000
0.0000 0.0000 4.7484



! CrCuNi2C PBE relaxed; values from VASP
! - DOS(E_F) (states/eV per atom) = 0.70
! - raw total energy (eV/f.u.) = -33.794
! - M_tot (μB per formula unit) = 2.99
! - formation energy (kJ/mol of atoms) = 13.7
&SYSTEM
  ibrav = 0, nat = 5, ntyp = 4
/
ATOMIC_SPECIES
Ni 58.69 Ni.upf
C 12.01 C.upf
Cu 63.55 Cu.upf
Cr 52.00 Cr.upf
ATOMIC_POSITIONS angstrom
Ni 0.0000 1.8855 0.0000
Ni 1.8855 0.0000 0.0000
C 0.0000 0.0000 0.0000
Cu 1.8855 1.8855 1.9352
Cr 0.0000 0.0000 1.9352
CELL_PARAMETERS angstrom
3.7711 0.0000 0.0000
0.0000 3.7711 0.0000
0.0000 0.0000 3.8704



! CrCuNiC2 PBE relaxed; values from VASP
! - DOS(E_F) (states/eV per atom) = 1.09
! - raw total energy (eV/f.u.) = -29.936
! - M_tot (μB per formula unit) = 0.21
! - formation energy (kJ/mol of atoms) = 154.6
&SYSTEM
  ibrav = 0, nat = 5, ntyp = 4
/
ATOMIC_SPECIES
Ni 58.69 Ni.upf
C 12.01 C.upf
Cu 63.55 Cu.upf
Cr 52.00 Cr.upf
ATOMIC_POSITIONS angstrom
Ni 1.3963 -1.5745 -0.7565
C -0.4964 -1.1157 1.4059
C -1.3672 -0.7099 -1.0461
Cu -0.4673 -3.4001 -0.3967
Cr 0.0000 0.0000 0.0000
CELL_PARAMETERS angstrom
-2.7345 -1.4197 -2.0922
2.7926 -3.1491 -1.5130
-0.9928 -2.2313 2.8117



! Ta6Cr3Cu3C2 PBE relaxed; values from VASP
! - DOS(E_F) (states/eV per atom) = 0.79
! - raw total energy (eV/f.u.) = -133.535
! - M_tot (μB per formula unit) = 0.00
! - formation energy (kJ/mol of atoms) = -19.4
&SYSTEM
  ibrav = 0, nat = 28, ntyp = 4
/
ATOMIC_SPECIES
Ta 180.95 Ta.upf
Cr 52.00 Cr.upf
Cu 63.55 Cu.upf
C 12.01 C.upf
ATOMIC_POSITIONS angstrom
Ta 4.1159 -0.6302 0.0625
Ta 0.3667 0.1467 4.5470
Ta 1.7780 -2.6907 0.6711
Ta 2.6860 2.1577 3.9145
Ta 4.7682 -3.7118 0.4629
Ta -0.3042 3.1787 4.1227
Ta 3.4395 9.1716 4.4181
Ta 1.1674 3.1129 1.4995
Ta -0.2683 5.9305 5.4172
Ta 6.5839 -1.5260 1.5469
Ta 4.4944 4.3042 5.0856
Ta 1.8213 0.1003 1.8785
Cr 3.7226 4.2160 2.2110
Cr 1.6301 -2.3792 3.5161
Cr 4.6328 0.3591 2.6336
Cr 4.9223 1.9089 -0.8090
Cr 6.1523 1.2359 1.0738
Cr 3.7826 2.0451 1.2388
Cu 5.6547 3.7437 0.7115
Cu 5.4532 2.6650 3.1077
Cu 3.0568 -0.5184 4.4738
Cu 3.8570 6.5181 3.2587
Cu 1.9028 4.8028 3.7747
Cu 3.8092 -2.0079 2.4140
C -0.4018 3.9014 6.1727
C 3.4571 2.5837 5.9040
C 0.4562 -0.0295 6.6962
C 0.7650 1.6235 3.0243
CELL_PARAMETERS angstrom
6.0120 5.2569 -1.5780
-2.3231 4.5797 6.3164
1.7044 -7.8918 1.0407



! TmCrCuC PBE relaxed; values from VASP
! - DOS(E_F) (states/eV per atom) = 0.59
! - raw total energy (eV/f.u.) = -27.945
! - M_tot (μB per formula unit) = 0.00
! - formation energy (kJ/mol of atoms) = -12.8
&SYSTEM
  ibrav = 0, nat = 8, ntyp = 4
/
ATOMIC_SPECIES
Tm 168.93 Tm.upf
Cr 52.00 Cr.upf
Cu 63.55 Cu.upf
C 12.01 C.upf
ATOMIC_POSITIONS angstrom
Tm 2.4744 2.4744 2.5229
Tm 0.8248 0.8248 7.6058
Cr 2.4744 0.8248 0.0000
Cr 0.8248 2.4744 0.0000
Cu 0.8248 2.4744 5.0644
Cu 2.4744 0.8248 5.0644
C 2.4744 2.4744 8.7890
C 0.8248 0.8248 1.3397
CELL_PARAMETERS angstrom
3.2992 0.0000 0.0000
0.0000 3.2992 0.0000
0.0000 0.0000 10.1287



! Y2CrCuC PBE relaxed; values from VASP
! - DOS(E_F) (states/eV per atom) = 0.32
! - raw total energy (eV/f.u.) = -36.622
! - M_tot (μB per formula unit) = 2.30
! - formation energy (kJ/mol of atoms) = -14.5
&SYSTEM
  ibrav = 0, nat = 5, ntyp = 4
/
ATOMIC_SPECIES
Y 88.91 Y.upf
Cr 52.00 Cr.upf
C 12.01 C.upf
Cu 63.55 Cu.upf
ATOMIC_POSITIONS angstrom
Y 0.0000 2.4794 0.0000
Y 2.4794 0.0000 0.0000
Cr 0.0000 0.0000 1.9185
C 0.0000 0.0000 0.0000
Cu 2.4794 2.4794 1.9185
CELL_PARAMETERS angstrom
4.9588 0.0000 0.0000
0.0000 4.9588 0.0000
0.0000 0.0000 3.8371



! ZrCrCu2C PBE relaxed; values from VASP
! - DOS(E_F) (states/eV per atom) = 0.65
! - raw total energy (eV/f.u.) = -33.877
! - M_tot (μB per formula unit) = 3.48
! - formation energy (kJ/mol of atoms) = 33.0
&SYSTEM
  ibrav = 0, nat = 5, ntyp = 4
/
ATOMIC_SPECIES
Cr 52.00 Cr.upf
C 12.01 C.upf
Cu 63.55 Cu.upf
Zr 91.22 Zr.upf
ATOMIC_POSITIONS angstrom
Cr 1.9718 2.2440 1.9718
C 0.0000 0.0000 0.0000
Cu 0.0000 0.0000 1.9718
Cu 1.9718 0.0000 0.0000
Zr 0.0000 2.2440 0.0000
CELL_PARAMETERS angstrom
3.9436 0.0000 0.0000
0.0000 4.4879 0.0000
0.0000 0.0000 3.9436



! Dy3CrC3 PBE relaxed; values from VASP
! - DOS(E_F) (states/eV per atom) = 0.42
! - raw total energy (eV/f.u.) = -53.303
! - M_tot (μB per formula unit) = 0.00
! - formation energy (kJ/mol of atoms) = -30.3
&SYSTEM
  ibrav = 0, nat = 14, ntyp = 3
/
ATOMIC_SPECIES
Dy 162.50 Dy.upf
Cr 52.00 Cr.upf
C 12.01 C.upf
ATOMIC_POSITIONS angstrom
Dy 1.2775 3.5374 5.1014
Dy 1.2775 0.9312 2.5993
Dy 1.2775 0.2821 5.8837
Dy 3.8325 2.6350 0.8246
Dy 3.8325 5.2412 3.3267
Dy 3.8325 5.8903 0.0423
Cr 3.8325 1.6753 4.4325
Cr 1.2775 4.4971 1.4935
C 3.8325 3.4055 5.0675
C 3.8325 0.9704 2.7296
C 3.8325 0.3925 5.7687
C 1.2775 2.7669 0.8584
C 1.2775 5.2020 3.1964
C 1.2775 5.7799 0.1573
CELL_PARAMETERS angstrom
5.1099 0.0000 0.0000
0.0000 6.6783 -0.7785
0.0000 -0.5059 6.7044



! Dy5Cr2C6 PBE relaxed; values from VASP
! - DOS(E_F) (states/eV per atom) = 0.59
! - raw total energy (eV/f.u.) = -98.150
! - M_tot (μB per formula unit) = 0.00
! - formation energy (kJ/mol of atoms) = -4.1
&SYSTEM
  ibrav = 0, nat = 26, ntyp = 3
/
ATOMIC_SPECIES
Dy 162.50 Dy.upf
Cr 52.00 Cr.upf
C 12.01 C.upf
ATOMIC_POSITIONS angstrom
Dy 1.6972 3.2505 5.6462
Dy 1.6972 6.5303 5.9053
Dy 1.6972 8.1409 0.1295
Dy 1.6972 1.6399 11.4219
Dy 1.6972 5.7076 2.8952
Dy 1.6972 4.0732 8.6562
Dy 1.6972 0.8172 2.8805
Dy 1.6972 8.9636 8.6709
Dy 1.6972 4.8904 0.0000
Dy 1.6972 0.0000 5.7757
Cr 0.0000 3.2389 3.2100
Cr 0.0000 6.5420 8.3414
Cr 0.0000 8.1293 2.5657
Cr 0.0000 1.6516 8.9858
C 0.0000 1.7216 4.5282
C 0.0000 8.0592 7.0232
C 0.0000 6.6120 1.2475
C 0.0000 3.1688 10.3040
C 1.6972 3.2523 2.2356
C 1.6972 6.5285 9.3159
C 1.6972 8.1428 3.5402
C 1.6972 1.6381 8.0113
C 0.0000 4.7135 4.3455
C 0.0000 5.0673 7.2060
C 0.0000 9.6039 1.4303
C 0.0000 0.1769 10.1212
CELL_PARAMETERS angstrom
3.3944 0.0000 0.0000
0.0000 9.7808 0.0000
0.0000 0.0000 11.5514



! DyCrC2 PBE relaxed; values from VASP
! - DOS(E_F) (states/eV per atom) = 0.62
! - raw total energy (eV/f.u.) = -32.218
! - M_tot (μB per formula unit) = 1.09
! - formation energy (kJ/mol of atoms) = 11.0
&SYSTEM
  ibrav = 0, nat = 4, ntyp = 3
/
ATOMIC_SPECIES
Cr 52.00 Cr.upf
C 12.01 C.upf
Dy 162.50 Dy.upf
ATOMIC_POSITIONS angstrom
Cr 0.0000 0.0000 0.0000
C -2.0629 -0.4735 0.1529
C -6.5534 -2.0217 1.3335
Dy -4.3082 -1.2476 0.7432
CELL_PARAMETERS angstrom
-2.8350 1.4772 -0.1663
-2.3375 -1.2219 -1.8138
-3.4438 -2.7506 3.4665



! Dy2ErCr2C4 PBE relaxed; values from VASP
! - DOS(E_F) (states/eV per atom) = 0.75
! - raw total energy (eV/f.u.) = -71.197
! - M_tot (μB per formula unit) = 0.00
! - formation energy (kJ/mol of atoms) = -13.8
&SYSTEM
  ibrav = 0, nat = 9, ntyp = 4
/
ATOMIC_SPECIES
Dy 162.50 Dy.upf
Er 167.26 Er.upf
Cr 52.00 Cr.upf
C 12.01 C.upf
ATOMIC_POSITIONS angstrom
Dy 1.6996 3.7669 2.6311
Dy 0.0000 0.5781 3.0416
Er 0.0000 0.0000 0.0000
Cr 0.0000 4.1474 0.1425
Cr 1.6996 0.1977 5.5303
C 1.6996 1.9487 4.5659
C 0.0000 2.3964 1.1069
C 0.0000 5.4189 1.4831
C 1.6996 -1.0738 4.1897
CELL_PARAMETERS angstrom
3.3992 0.0000 0.0000
-1.6996 6.5048 0.1258
0.0000 -2.1597 5.5470